# KHoB4 (PBE, optimized geometry)
# - E (eV/atom) = -5.39
# - polymorph energy (0 for the lowest one) (eV per formula unit) = 0.00
# - SG = P6/mmm (191)
# - magnetization (μB per formula unit) = 0.03
data_KHoB4
_symmetry_space_group_name_H-M 'P 1'
_symmetry_Int_Tables_number 1
_cell_length_a 3.2100
_cell_length_b 3.2100
_cell_length_c 8.7863
_cell_angle_alpha 90.00
_cell_angle_beta 90.00
_cell_angle_gamma 120.00
loop_
_symmetry_equiv_pos_as_xyz
'x,y,z'
loop_
_atom_site_label
_atom_site_fract_x
_atom_site_fract_y
_atom_site_fract_z
K1 0.0000 0.0000 0.0000
Ho1 0.0000 0.0000 0.5000
B1 0.3333 0.6667 0.2847
B2 0.3333 0.6667 0.7153
B3 0.6667 0.3333 0.2847
B4 0.6667 0.3333 0.7153



# Nb2TcBi (PBE, optimized geometry)
# - E (eV/atom) = -8.34
# - SG = F-43m (216)
# - magnetization (μB per formula unit) = 0.06
data_Nb2TcBi
_symmetry_space_group_name_H-M 'P 1'
_symmetry_Int_Tables_number 1
_cell_length_a 4.7153
_cell_length_b 4.7153
_cell_length_c 4.7153
_cell_angle_alpha 60.00
_cell_angle_beta 60.00
_cell_angle_gamma 60.00
loop_
_symmetry_equiv_pos_as_xyz
'x,y,z'
loop_
_atom_site_label
_atom_site_fract_x
_atom_site_fract_y
_atom_site_fract_z
Nb1 0.0000 0.0000 0.0000
Nb2 0.2500 0.2500 0.2500
Tc1 0.7500 0.7500 0.7500
Bi1 0.5000 0.5000 0.5000



# NaGdCoTe3 (PBE, optimized geometry)
# - E (eV/atom) = -4.51
# - polymorph energy (0 for the lowest one) (eV per formula unit) = 0.15
# - SG = Pnma (62)
# - magnetization (μB per formula unit) = 2.47
data_NaGdCoTe3
_symmetry_space_group_name_H-M 'P 1'
_symmetry_Int_Tables_number 1
_cell_length_a 11.3770
_cell_length_b 4.2050
_cell_length_c 14.5766
_cell_angle_alpha 90.00
_cell_angle_beta 90.00
_cell_angle_gamma 90.00
loop_
_symmetry_equiv_pos_as_xyz
'x,y,z'
loop_
_atom_site_label
_atom_site_fract_x
_atom_site_fract_y
_atom_site_fract_z
Na1 0.2198 0.2500 0.0048
Na2 0.2802 0.7500 0.5048
Na3 0.7198 0.2500 0.4952
Na4 0.7802 0.7500 0.9952
Gd1 0.0182 0.7500 0.7434
Gd2 0.4818 0.2500 0.2434
Gd3 0.5182 0.7500 0.7566
Gd4 0.9818 0.2500 0.2566
Co1 0.2360 0.7500 0.2245
Co2 0.2640 0.2500 0.7245
Co3 0.7360 0.7500 0.2755
Co4 0.7640 0.2500 0.7755
Te1 0.0582 0.7500 0.1148
Te2 0.0969 0.2500 0.6044
Te3 0.2355 0.2500 0.3313
Te4 0.2645 0.7500 0.8313
Te5 0.4031 0.7500 0.1044
Te6 0.4418 0.2500 0.6148
Te7 0.5582 0.7500 0.3852
Te8 0.5969 0.2500 0.8956
Te9 0.7355 0.2500 0.1687
Te10 0.7645 0.7500 0.6687
Te11 0.9031 0.7500 0.3956
Te12 0.9418 0.2500 0.8852



# AlFeHgIr (PBE, optimized geometry)
# - E (eV/atom) = -5.18
# - polymorph energy (0 for the lowest one) (eV per formula unit) = 0.00
# - SG = F-43m (216)
# - magnetization (μB per formula unit) = 2.41
data_AlFeHgIr
_symmetry_space_group_name_H-M 'P 1'
_symmetry_Int_Tables_number 1
_cell_length_a 4.4332
_cell_length_b 4.4332
_cell_length_c 4.4332
_cell_angle_alpha 60.00
_cell_angle_beta 60.00
_cell_angle_gamma 60.00
loop_
_symmetry_equiv_pos_as_xyz
'x,y,z'
loop_
_atom_site_label
_atom_site_fract_x
_atom_site_fract_y
_atom_site_fract_z
Al1 0.0000 0.0000 0.0000
Fe1 0.2500 0.2500 0.2500
Hg1 0.5000 0.5000 0.5000
Ir1 0.7500 0.7500 0.7500



# NaZnGe2Ir (PBE, optimized geometry)
# - E (eV/atom) = -4.27
# - SG = I-4m2 (119)
# - magnetization (μB per formula unit) = 0.01
data_NaZnGe2Ir
_symmetry_space_group_name_H-M 'P 1'
_symmetry_Int_Tables_number 1
_cell_length_a 6.1458
_cell_length_b 6.1458
_cell_length_c 6.1458
_cell_angle_alpha 140.88
_cell_angle_beta 140.88
_cell_angle_gamma 56.52
loop_
_symmetry_equiv_pos_as_xyz
'x,y,z'
loop_
_atom_site_label
_atom_site_fract_x
_atom_site_fract_y
_atom_site_fract_z
Na1 0.0000 0.0000 0.0000
Zn1 0.2500 0.7500 0.5000
Ge1 0.3823 0.3823 0.0000
Ge2 0.6177 0.6177 0.0000
Ir1 0.7500 0.2500 0.5000



# HfTaTlFe (PBE, optimized geometry)
# - E (eV/atom) = -7.60
# - polymorph energy (0 for the lowest one) (eV per formula unit) = 0.00
# - SG = F-43m (216)
# - magnetization (μB per formula unit) = 1.97
data_HfTaTlFe
_symmetry_space_group_name_H-M 'P 1'
_symmetry_Int_Tables_number 1
_cell_length_a 4.6658
_cell_length_b 4.6658
_cell_length_c 4.6658
_cell_angle_alpha 60.00
_cell_angle_beta 60.00
_cell_angle_gamma 60.00
loop_
_symmetry_equiv_pos_as_xyz
'x,y,z'
loop_
_atom_site_label
_atom_site_fract_x
_atom_site_fract_y
_atom_site_fract_z
Hf1 0.0000 0.0000 0.0000
Ta1 0.7500 0.7500 0.7500
Tl1 0.2500 0.2500 0.2500
Fe1 0.5000 0.5000 0.5000



# AlCdCoPt (PBE, optimized geometry)
# - E (eV/atom) = -4.73
# - polymorph energy (0 for the lowest one) (eV per formula unit) = 0.00
# - SG = F-43m (216)
# - magnetization (μB per formula unit) = 0.72
data_AlCdCoPt
_symmetry_space_group_name_H-M 'P 1'
_symmetry_Int_Tables_number 1
_cell_length_a 4.3864
_cell_length_b 4.3864
_cell_length_c 4.3864
_cell_angle_alpha 60.00
_cell_angle_beta 60.00
_cell_angle_gamma 60.00
loop_
_symmetry_equiv_pos_as_xyz
'x,y,z'
loop_
_atom_site_label
_atom_site_fract_x
_atom_site_fract_y
_atom_site_fract_z
Al1 0.0000 0.0000 0.0000
Cd1 0.5000 0.5000 0.5000
Co1 0.2500 0.2500 0.2500
Pt1 0.7500 0.7500 0.7500



# LiAgNO (PBE, optimized geometry)
# - E (eV/atom) = -3.91
# - polymorph energy (0 for the lowest one) (eV per formula unit) = 1.70
# - SG = P4/nmm (129)
data_LiAgNO
_symmetry_space_group_name_H-M 'P 1'
_symmetry_Int_Tables_number 1
_cell_length_a 4.0278
_cell_length_b 4.0278
_cell_length_c 6.4515
_cell_angle_alpha 90.00
_cell_angle_beta 90.00
_cell_angle_gamma 90.00
loop_
_symmetry_equiv_pos_as_xyz
'x,y,z'
loop_
_atom_site_label
_atom_site_fract_x
_atom_site_fract_y
_atom_site_fract_z
Li1 0.2500 0.7500 0.0000
Li2 0.7500 0.2500 0.0000
Ag1 0.2500 0.2500 0.3757
Ag2 0.7500 0.7500 0.6243
N1 0.2500 0.2500 0.0537
N2 0.7500 0.7500 0.9463
O1 0.2500 0.7500 0.5000
O2 0.7500 0.2500 0.5000



# SrTmAuSe2S (PBE, optimized geometry)
# - E (eV/atom) = -4.90
# - SG = Cmcm (63)
# - magnetization (μB per formula unit) = 0.00
data_SrTmAuSe2S
_symmetry_space_group_name_H-M 'P 1'
_symmetry_Int_Tables_number 1
_cell_length_a 7.1339
_cell_length_b 7.1339
_cell_length_c 10.3524
_cell_angle_alpha 90.00
_cell_angle_beta 90.00
_cell_angle_gamma 146.55
loop_
_symmetry_equiv_pos_as_xyz
'x,y,z'
loop_
_atom_site_label
_atom_site_fract_x
_atom_site_fract_y
_atom_site_fract_z
Sr1 0.2449 0.7551 0.7500
Sr2 0.7551 0.2449 0.2500
Tm1 0.5000 0.5000 0.0000
Tm2 0.5000 0.5000 0.5000
Au1 0.0294 0.9706 0.2500
Au2 0.9706 0.0294 0.7500
Se1 0.1443 0.8557 0.0498
Se2 0.1443 0.8557 0.4502
Se3 0.8557 0.1443 0.5498
Se4 0.8557 0.1443 0.9502
S1 0.4174 0.5826 0.2500
S2 0.5826 0.4174 0.7500



# NdCdPd (PBE, optimized geometry)
# - E (eV/atom) = -4.15
# - SG = F-43m (216)
# - magnetization (μB per formula unit) = 0.01
# - formation energy from the elements (eV/atom) = -0.543
data_NdCdPd
_symmetry_space_group_name_H-M 'P 1'
_symmetry_Int_Tables_number 1
_cell_length_a 4.8082
_cell_length_b 4.8082
_cell_length_c 4.8082
_cell_angle_alpha 60.00
_cell_angle_beta 60.00
_cell_angle_gamma 60.00
loop_
_symmetry_equiv_pos_as_xyz
'x,y,z'
loop_
_atom_site_label
_atom_site_fract_x
_atom_site_fract_y
_atom_site_fract_z
Nd1 0.0000 0.0000 0.0000
Cd1 0.5000 0.5000 0.5000
Pd1 0.7500 0.7500 0.7500



# MgCoCuBi (PBE, optimized geometry)
# - E (eV/atom) = -3.89
# - polymorph energy (0 for the lowest one) (eV per formula unit) = 0.00
# - SG = F-43m (216)
# - magnetization (μB per formula unit) = 0.00
data_MgCoCuBi
_symmetry_space_group_name_H-M 'P 1'
_symmetry_Int_Tables_number 1
_cell_length_a 4.5509
_cell_length_b 4.5509
_cell_length_c 4.5509
_cell_angle_alpha 60.00
_cell_angle_beta 60.00
_cell_angle_gamma 60.00
loop_
_symmetry_equiv_pos_as_xyz
'x,y,z'
loop_
_atom_site_label
_atom_site_fract_x
_atom_site_fract_y
_atom_site_fract_z
Mg1 0.0000 0.0000 0.0000
Co1 0.2500 0.2500 0.2500
Cu1 0.7500 0.7500 0.7500
Bi1 0.5000 0.5000 0.5000



# BaPmHg (PBE, optimized geometry)
# - E (eV/atom) = -2.12
# - polymorph energy (0 for the lowest one) (eV per formula unit) = 0.00
# - SG = F-43m (216)
# - magnetization (μB per formula unit) = 0.00
data_BaPmHg
_symmetry_space_group_name_H-M 'P 1'
_symmetry_Int_Tables_number 1
_cell_length_a 5.3528
_cell_length_b 5.3528
_cell_length_c 5.3528
_cell_angle_alpha 60.00
_cell_angle_beta 60.00
_cell_angle_gamma 60.00
loop_
_symmetry_equiv_pos_as_xyz
'x,y,z'
loop_
_atom_site_label
_atom_site_fract_x
_atom_site_fract_y
_atom_site_fract_z
Ba1 0.0000 0.0000 0.0000
Pm1 0.2500 0.2500 0.2500
Hg1 0.5000 0.5000 0.5000